No. 1
VASP calculation (PBE) on crystalline LuPuTh2 at its relaxed geometry.

Summary:
Energy above the most stable polymorph in this dataset, kJ/mol of atoms: 0.0
Total DFT energy (no corrections), eV/atom: -8.34
Energy relative to the elements, eV/atom: 0.08

Cell lengths 5.051, 5.051, 4.668 Å; angles 90.00, 90.00, 90.00 degrees
Space group P4/mmm (No. 123)
Unique sites:
Lu: 0.000 0.000 0.000
Pu: 0.500 0.500 0.000
Th: 0.000 0.500 0.500


No. 2
VASP calculation (PBE) on crystalline Ho2Si4AgPt3 at its relaxed geometry.

Summary:
Total DFT energy (no corrections), eV/atom: -6.10
Uncorrected formation energy, eV per atom: -0.915

Cell lengths 4.196, 4.196, 9.996 Å; angles 90.00, 90.00, 90.00 degrees
Space group P-4m2 (No. 115)
Unique sites:
Ho: 0.000 0.500 0.246
Si: 0.000 0.000 0.000
Si: 0.000 0.500 0.641
Si: 0.500 0.500 0.000
Ag: 0.000 0.000 0.500
Pt: 0.000 0.500 0.879
Pt: 0.500 0.500 0.500


No. 3
VASP calculation (PBE) on crystalline NaCa3W at its relaxed geometry.

Summary:
Energy above the most stable polymorph in this dataset, kJ/mol of atoms: 0.0
Total DFT energy (no corrections), eV/atom: -3.18
Energy relative to the elements, eV/atom: 0.87

Cell lengths 5.671, 5.671, 5.671 Å; angles 90.00, 90.00, 90.00 degrees
Space group Pm-3m (No. 221)
Unique sites:
Na: 0.000 0.000 0.000
Ca: 0.000 0.500 0.500
W: 0.500 0.500 0.500


No. 4
VASP calculation (PBE) on crystalline MgCd3Hg3 at its relaxed geometry.

Summary:
Energy above the most stable polymorph in this dataset, kJ/mol of atoms: 0.0
Total DFT energy (no corrections), eV/atom: -0.78
Energy relative to the elements, eV/atom: -0.03

Cell lengths 8.3056, 8.3056, 5.3712 Å; angles 90.00, 90.00, 120.00 degrees
Space group P6_3/m (No. 176)
Unique sites:
Mg: 0.3333 0.6667 0.2500
Cd: 0.0483 0.2386 0.2500
Hg: 0.0915 0.4740 0.7500


No. 5
VASP calculation (PBE) on crystalline RbLiSm2Se4 at its relaxed geometry.

Summary:
Total DFT energy (no corrections), eV/atom: -4.99
Uncorrected formation energy, eV per atom: -1.708

Cell lengths 4.293, 14.427, 14.849 Å; angles 90.00, 90.00, 90.00 degrees
Space group Cmcm (No. 63)
Unique sites:
Rb: 0.000 0.108 0.250
Li: 0.000 0.166 0.750
Sm: 0.000 0.366 0.061
Se: 0.000 0.000 0.000
Se: 0.000 0.262 0.608
Se: 0.000 0.424 0.250


No. 6
VASP calculation (PBE) on crystalline Y3As at its relaxed geometry.

Summary:
Energy above the most stable polymorph in this dataset, kJ/mol of atoms: 22.1
Total DFT energy (no corrections), eV/atom: -6.40
Energy relative to the elements, eV/atom: -0.39

Cell lengths 4.489, 4.489, 10.426 Å; angles 90.00, 90.00, 90.00 degrees
Space group I4/mmm (No. 139)
Unique sites:
Y: 0.000 0.000 0.000
Y: 0.000 0.500 0.250
As: 0.000 0.000 0.500


No. 7
VASP calculation (PBE) on crystalline Ho3PuIn4 at its relaxed geometry.

Summary:
Total DFT energy (no corrections), eV/atom: -5.24
Energy relative to the elements, eV/atom: -0.36

Cell lengths 10.755, 7.162, 5.494 Å; angles 90.00, 90.00, 90.00 degrees
Space group Pmma (No. 51)
Unique sites:
Ho: 0.000 0.000 0.000
Ho: 0.250 0.000 0.416
Ho: 0.250 0.500 0.411
Pu: 0.000 0.500 0.000
In: 0.000 0.244 0.500
In: 0.250 0.245 0.908


No. 8
VASP calculation (PBE) on crystalline PrHoTm2S4 at its relaxed geometry.

Summary:
Total DFT energy (no corrections), eV/atom: -6.31
Uncorrected formation energy, eV per atom: -1.956

Cell lengths 6.771, 3.861, 6.889 Å; angles 90.00, 108.68, 90.00 degrees
Space group P2/m (No. 10)
Unique sites:
Pr: 0.000 0.000 0.000
Ho: 0.500 0.500 0.000
Tm: 0.000 0.500 0.500
Tm: 0.500 0.000 0.500
S: 0.254 0.000 0.739
S: 0.265 0.500 0.268


Which of these has the highest total DFT energy (no corrections)?
MgCd3Hg3


Please write out number 4 again, unchanged.
VASP calculation (PBE) on crystalline MgCd3Hg3 at its relaxed geometry.

Summary:
Energy above the most stable polymorph in this dataset, kJ/mol of atoms: 0.0
Total DFT energy (no corrections), eV/atom: -0.78
Energy relative to the elements, eV/atom: -0.03

Cell lengths 8.3056, 8.3056, 5.3712 Å; angles 90.00, 90.00, 120.00 degrees
Space group P6_3/m (No. 176)
Unique sites:
Mg: 0.3333 0.6667 0.2500
Cd: 0.0483 0.2386 0.2500
Hg: 0.0915 0.4740 0.7500


Which formula does entry 8 have?
PrHoTm2S4